# 1
Material: EuLuScCd
Method: DFT, PBE
State: relaxed

Cell lengths 5.395, 5.395, 5.395 Å; angles 60.00, 60.00, 60.00 degrees
Last column: magnetic moment on the atom in μB.
Positions (direct):
Lu (0.000, 0.000, 0.000)  0.00
Eu (0.500, 0.500, 0.500)  6.79
Sc (0.750, 0.750, 0.750)  0.03
Cd (0.250, 0.250, 0.250)  -0.01

Values from the calculation:
space-group type: F-43m (216)
spin magnetization: 7.03 μB/f.u.
ΔH_f (0 K): 20 meV/atom

***

# 2
Material: Pm3TiTe6
Method: DFT, PBE
State: relaxed

Cell lengths 7.418, 9.763, 9.763 Å; angles 101.82, 90.00, 90.00 degrees
Last column: magnetic moment on the atom in μB.
Positions (direct):
Te (0.204, 0.439, 0.902)  -0.03
Te (0.704, 0.902, 0.439)  -0.03
Te (0.666, 0.225, 0.775)  -0.03
Te (0.681, 0.299, 0.371)  0.00
Te (0.166, 0.775, 0.225)  -0.03
Pm (0.486, 0.274, 0.080)  0.04
Ti (0.029, 0.203, 0.797)  0.81
Pm (0.486, 0.920, 0.726)  0.04
Te (0.171, 0.038, 0.962)  -0.02
Te (0.704, 0.561, 0.098)  -0.03
Pm (0.986, 0.080, 0.274)  0.04
Ti (0.529, 0.797, 0.203)  0.81
Pm (0.880, 0.595, 0.405)  0.01
Pm (0.380, 0.405, 0.595)  0.01
Pm (0.986, 0.726, 0.920)  0.04
Te (0.204, 0.098, 0.561)  -0.03
Te (0.671, 0.962, 0.038)  -0.02
Te (0.681, 0.629, 0.701)  0.00
Te (0.181, 0.701, 0.629)  0.00
Te (0.181, 0.371, 0.299)  0.00

Values from the calculation:
raw formation energy: -11.47 eV/f.u.
space-group type: Cmc2_1 (36)
spin magnetization: 1.02 μB/f.u.

***

Repeat the second record exactly.
Material: Pm3TiTe6
Method: DFT, PBE
State: relaxed

Cell lengths 7.418, 9.763, 9.763 Å; angles 101.82, 90.00, 90.00 degrees
Last column: magnetic moment on the atom in μB.
Positions (direct):
Te (0.204, 0.439, 0.902)  -0.03
Te (0.704, 0.902, 0.439)  -0.03
Te (0.666, 0.225, 0.775)  -0.03
Te (0.681, 0.299, 0.371)  0.00
Te (0.166, 0.775, 0.225)  -0.03
Pm (0.486, 0.274, 0.080)  0.04
Ti (0.029, 0.203, 0.797)  0.81
Pm (0.486, 0.920, 0.726)  0.04
Te (0.171, 0.038, 0.962)  -0.02
Te (0.704, 0.561, 0.098)  -0.03
Pm (0.986, 0.080, 0.274)  0.04
Ti (0.529, 0.797, 0.203)  0.81
Pm (0.880, 0.595, 0.405)  0.01
Pm (0.380, 0.405, 0.595)  0.01
Pm (0.986, 0.726, 0.920)  0.04
Te (0.204, 0.098, 0.561)  -0.03
Te (0.671, 0.962, 0.038)  -0.02
Te (0.681, 0.629, 0.701)  0.00
Te (0.181, 0.701, 0.629)  0.00
Te (0.181, 0.371, 0.299)  0.00

Values from the calculation:
raw formation energy: -11.47 eV/f.u.
space-group type: Cmc2_1 (36)
spin magnetization: 1.02 μB/f.u.

***

Q: spin magnetization of number 2 (Pm3TiTe6)?
A: 1.02 μB/f.u.

***

Repeat the first record exactly.
Material: EuLuScCd
Method: DFT, PBE
State: relaxed

Cell lengths 5.395, 5.395, 5.395 Å; angles 60.00, 60.00, 60.00 degrees
Last column: magnetic moment on the atom in μB.
Positions (direct):
Lu (0.000, 0.000, 0.000)  0.00
Eu (0.500, 0.500, 0.500)  6.79
Sc (0.750, 0.750, 0.750)  0.03
Cd (0.250, 0.250, 0.250)  -0.01

Values from the calculation:
space-group type: F-43m (216)
spin magnetization: 7.03 μB/f.u.
ΔH_f (0 K): 20 meV/atom

***

Q: The highest spin magnetization belongs to which entry?
A: EuLuScCd